This record from Alexandria via LeMat-Bulk describes Mg2BiBr after structural relaxation. The functional is PBE-GGA.

Geometry as extended XYZ:
```
8
Lattice="4.718 0.000 0.000 -0.526 7.384 0.000 -1.803 -2.705 7.176" Properties=species:S:1:pos:R:3 pbc="T T T"
Mg 0.000 0.000 0.000
Mg -0.407 2.866 2.978
Mg 0.239 1.151 5.565
Mg 1.510 5.903 3.760
Bi -0.330 -0.021 2.894
Bi 0.022 4.036 5.644
Br 1.981 3.803 2.013
Br 2.589 0.138 6.551
```

Formation energy from raw total energies (eV/atom): -0.566
Symmetry: P1 (1)